1.
A relaxed Pm3Pr2NdHo6 crystal. Source: the Alexandria database, functional PBE.

Geometry as CIF:
```
data_Pm3Pr2NdHo6
_chemical_formula_sum 'Pm3 Pr2 Nd1 Ho6'
_cell_length_a 6.255
_cell_length_b 6.255
_cell_length_c 11.813
_cell_angle_alpha 95.05
_cell_angle_beta 95.05
_cell_angle_gamma 119.99
_symmetry_space_group_name_H-M 'P 1'
_symmetry_Int_Tables_number 1
loop_
_symmetry_equiv_pos_as_xyz
'x,y,z'
loop_
_atom_site_label
_atom_site_type_symbol
_atom_site_fract_x
_atom_site_fract_y
_atom_site_fract_z
Pm1 Pm 0.000 0.000 0.000
Pm2 Pm 0.333 0.667 0.000
Pm3 Pm 0.667 0.333 0.000
Pr1 Pr 0.167 0.833 0.500
Pr2 Pr 0.833 0.167 0.500
Nd1 Nd 0.500 0.500 0.500
Ho1 Ho 0.083 0.416 0.249
Ho2 Ho 0.251 0.251 0.751
Ho3 Ho 0.416 0.083 0.249
Ho4 Ho 0.584 0.917 0.751
Ho5 Ho 0.749 0.749 0.249
Ho6 Ho 0.917 0.584 0.751
```

The symmetry is No. 12.

2.
A relaxed PmPrNd2Ho5 crystal. Source: the Alexandria database, functional PBE.

Geometry as CIF:
```
data_PmPrNd2Ho5
_chemical_formula_sum 'Pm2 Pr2 Nd4 Ho10'
_cell_length_a 9.946
_cell_length_b 9.946
_cell_length_c 9.946
_cell_angle_alpha 127.88
_cell_angle_beta 127.88
_cell_angle_gamma 76.81
_symmetry_space_group_name_H-M 'P 1'
_symmetry_Int_Tables_number 1
loop_
_symmetry_equiv_pos_as_xyz
'x,y,z'
loop_
_atom_site_label
_atom_site_type_symbol
_atom_site_fract_x
_atom_site_fract_y
_atom_site_fract_z
Pm1 Pm 0.250 0.750 0.500
Pm2 Pm 0.750 0.250 0.500
Pr1 Pr 0.250 0.250 0.000
Pr2 Pr 0.750 0.750 0.000
Nd1 Nd 0.117 0.617 0.735
Nd2 Nd 0.383 0.117 0.500
Nd3 Nd 0.617 0.883 0.500
Nd4 Nd 0.883 0.383 0.265
Ho1 Ho 0.000 0.000 0.000
Ho2 Ho 0.072 0.154 0.500
Ho3 Ho 0.154 0.654 0.082
Ho4 Ho 0.346 0.428 0.500
Ho5 Ho 0.428 0.928 0.082
Ho6 Ho 0.500 0.500 0.000
Ho7 Ho 0.572 0.072 0.918
Ho8 Ho 0.654 0.572 0.500
Ho9 Ho 0.846 0.346 0.918
Ho10 Ho 0.928 0.846 0.500
```

The symmetry is No. 140.

3.
A relaxed PmPr2Nd6Ho crystal. Source: the Alexandria database, functional PBE.

Geometry as CIF:
```
data_PmPr2Nd6Ho
_chemical_formula_sum 'Pm2 Pr4 Nd12 Ho2'
_cell_length_a 8.999
_cell_length_b 8.999
_cell_length_c 9.959
_cell_angle_alpha 94.51
_cell_angle_beta 94.51
_cell_angle_gamma 117.91
_symmetry_space_group_name_H-M 'P 1'
_symmetry_Int_Tables_number 1
loop_
_symmetry_equiv_pos_as_xyz
'x,y,z'
loop_
_atom_site_label
_atom_site_type_symbol
_atom_site_fract_x
_atom_site_fract_y
_atom_site_fract_z
Pm1 Pm 0.018 0.982 0.750
Pm2 Pm 0.982 0.018 0.250
Pr1 Pr 0.195 0.294 0.543
Pr2 Pr 0.294 0.195 0.043
Pr3 Pr 0.706 0.805 0.957
Pr4 Pr 0.805 0.706 0.457
Nd1 Nd 0.015 0.573 0.689
Nd2 Nd 0.120 0.747 0.055
Nd3 Nd 0.253 0.880 0.445
Nd4 Nd 0.295 0.505 0.881
Nd5 Nd 0.427 0.985 0.811
Nd6 Nd 0.495 0.705 0.619
Nd7 Nd 0.505 0.295 0.381
Nd8 Nd 0.573 0.015 0.189
Nd9 Nd 0.705 0.495 0.119
Nd10 Nd 0.747 0.120 0.555
Nd11 Nd 0.880 0.253 0.945
Nd12 Nd 0.985 0.427 0.311
Ho1 Ho 0.408 0.592 0.250
Ho2 Ho 0.592 0.408 0.750
```

The symmetry is No. 15.

4.
A relaxed Pm4Pr2NdHo2 crystal. Source: the Alexandria database, functional PBE.

Geometry as CIF:
```
data_Pm4Pr2NdHo2
_chemical_formula_sum 'Pm4 Pr2 Nd1 Ho2'
_cell_length_a 8.149
_cell_length_b 8.149
_cell_length_c 8.122
_cell_angle_alpha 107.61
_cell_angle_beta 107.61
_cell_angle_gamma 36.87
_symmetry_space_group_name_H-M 'P 1'
_symmetry_Int_Tables_number 1
loop_
_symmetry_equiv_pos_as_xyz
'x,y,z'
loop_
_atom_site_label
_atom_site_type_symbol
_atom_site_fract_x
_atom_site_fract_y
_atom_site_fract_z
Pm1 Pm 0.056 0.056 0.331
Pm2 Pm 0.278 0.278 0.670
Pm3 Pm 0.722 0.722 0.330
Pm4 Pm 0.944 0.944 0.669
Pr1 Pr 0.388 0.388 0.332
Pr2 Pr 0.612 0.612 0.668
Nd1 Nd 0.500 0.500 0.000
Ho1 Ho 0.168 0.168 0.000
Ho2 Ho 0.832 0.832 0.000
```

The symmetry is No. 12.

5.
A relaxed Pm4PrNd2Ho crystal. Source: the Alexandria database, functional PBE.

Geometry as CIF:
```
data_Pm4PrNd2Ho
_chemical_formula_sum 'Pm8 Pr2 Nd4 Ho2'
_cell_length_a 9.644
_cell_length_b 9.644
_cell_length_c 6.946
_cell_angle_alpha 110.93
_cell_angle_beta 110.93
_cell_angle_gamma 88.40
_symmetry_space_group_name_H-M 'P 1'
_symmetry_Int_Tables_number 1
loop_
_symmetry_equiv_pos_as_xyz
'x,y,z'
loop_
_atom_site_label
_atom_site_type_symbol
_atom_site_fract_x
_atom_site_fract_y
_atom_site_fract_z
Pm1 Pm 0.244 0.755 0.999
Pm2 Pm 0.245 0.756 0.501
Pm3 Pm 0.246 0.247 0.468
Pm4 Pm 0.247 0.246 0.968
Pm5 Pm 0.753 0.754 0.032
Pm6 Pm 0.754 0.753 0.532
Pm7 Pm 0.755 0.244 0.499
Pm8 Pm 0.756 0.245 0.001
Pr1 Pr 0.000 0.500 0.000
Pr2 Pr 0.500 0.000 0.500
Nd1 Nd 0.000 0.500 0.500
Nd2 Nd 0.500 0.000 0.000
Nd3 Nd 0.500 0.500 0.000
Nd4 Nd 0.500 0.500 0.500
Ho1 Ho 0.000 0.000 0.000
Ho2 Ho 0.000 0.000 0.500
```

The symmetry is No. 15.

6.
A relaxed Pm2PrNd5Ho crystal. Source: the Alexandria database, functional PBE.

Geometry as CIF:
```
data_Pm2PrNd5Ho
_chemical_formula_sum 'Pm4 Pr2 Nd10 Ho2'
_cell_length_a 10.106
_cell_length_b 10.106
_cell_length_c 10.106
_cell_angle_alpha 127.32
_cell_angle_beta 127.32
_cell_angle_gamma 77.73
_symmetry_space_group_name_H-M 'P 1'
_symmetry_Int_Tables_number 1
loop_
_symmetry_equiv_pos_as_xyz
'x,y,z'
loop_
_atom_site_label
_atom_site_type_symbol
_atom_site_fract_x
_atom_site_fract_y
_atom_site_fract_z
Pm1 Pm 0.116 0.616 0.732
Pm2 Pm 0.384 0.116 0.500
Pm3 Pm 0.616 0.884 0.500
Pm4 Pm 0.884 0.384 0.268
Pr1 Pr 0.250 0.250 0.000
Pr2 Pr 0.750 0.750 0.000
Nd1 Nd 0.000 0.000 0.000
Nd2 Nd 0.071 0.154 0.500
Nd3 Nd 0.154 0.654 0.083
Nd4 Nd 0.346 0.429 0.500
Nd5 Nd 0.429 0.929 0.083
Nd6 Nd 0.500 0.500 0.000
Nd7 Nd 0.571 0.071 0.917
Nd8 Nd 0.654 0.571 0.500
Nd9 Nd 0.846 0.346 0.917
Nd10 Nd 0.929 0.846 0.500
Ho1 Ho 0.250 0.750 0.500
Ho2 Ho 0.750 0.250 0.500
```

The symmetry is No. 140.

7.
A relaxed Pm2PrNd4Ho crystal. Source: the Alexandria database, functional PBE.

Geometry as CIF:
```
data_Pm2PrNd4Ho
_chemical_formula_sum 'Pm2 Pr1 Nd4 Ho1'
_cell_length_a 6.322
_cell_length_b 3.668
_cell_length_c 12.140
_cell_angle_alpha 90.00
_cell_angle_beta 100.27
_cell_angle_gamma 90.00
_symmetry_space_group_name_H-M 'P 1'
_symmetry_Int_Tables_number 1
loop_
_symmetry_equiv_pos_as_xyz
'x,y,z'
loop_
_atom_site_label
_atom_site_type_symbol
_atom_site_fract_x
_atom_site_fract_y
_atom_site_fract_z
Pm1 Pm 0.000 0.000 0.000
Pm2 Pm 0.000 0.500 0.500
Pr1 Pr 0.500 0.000 0.500
Nd1 Nd 0.250 0.000 0.753
Nd2 Nd 0.250 0.500 0.247
Nd3 Nd 0.750 0.000 0.247
Nd4 Nd 0.750 0.500 0.753
Ho1 Ho 0.500 0.500 0.000
```

The symmetry is No. 10.

8.
A relaxed PmPr4NdHo2 crystal. Source: the Alexandria database, functional PBE.

Geometry as CIF:
```
data_PmPr4NdHo2
_chemical_formula_sum 'Pm1 Pr4 Nd1 Ho2'
_cell_length_a 6.325
_cell_length_b 3.669
_cell_length_c 12.068
_cell_angle_alpha 90.00
_cell_angle_beta 100.17
_cell_angle_gamma 90.00
_symmetry_space_group_name_H-M 'P 1'
_symmetry_Int_Tables_number 1
loop_
_symmetry_equiv_pos_as_xyz
'x,y,z'
loop_
_atom_site_label
_atom_site_type_symbol
_atom_site_fract_x
_atom_site_fract_y
_atom_site_fract_z
Pm1 Pm 0.000 0.000 0.000
Pr1 Pr 0.251 0.500 0.251
Pr2 Pr 0.252 0.000 0.752
Pr3 Pr 0.748 0.000 0.248
Pr4 Pr 0.749 0.500 0.749
Nd1 Nd 0.000 0.500 0.500
Ho1 Ho 0.500 0.000 0.500
Ho2 Ho 0.500 0.500 0.000
```

The symmetry is No. 10.

9.
A relaxed Pm4Pr2Nd2Ho crystal. Source: the Alexandria database, functional PBE.

Geometry as CIF:
```
data_Pm4Pr2Nd2Ho
_chemical_formula_sum 'Pm4 Pr2 Nd2 Ho1'
_cell_length_a 9.739
_cell_length_b 9.739
_cell_length_c 9.823
_cell_angle_alpha 115.07
_cell_angle_beta 115.07
_cell_angle_gamma 21.83
_symmetry_space_group_name_H-M 'P 1'
_symmetry_Int_Tables_number 1
loop_
_symmetry_equiv_pos_as_xyz
'x,y,z'
loop_
_atom_site_label
_atom_site_type_symbol
_atom_site_fract_x
_atom_site_fract_y
_atom_site_fract_z
Pm1 Pm 0.018 0.018 0.330
Pm2 Pm 0.315 0.315 0.667
Pm3 Pm 0.685 0.685 0.333
Pm4 Pm 0.982 0.982 0.670
Pr1 Pr 0.165 0.165 0.000
Pr2 Pr 0.835 0.835 0.000
Nd1 Nd 0.353 0.353 0.334
Nd2 Nd 0.647 0.647 0.666
Ho1 Ho 0.500 0.500 0.000
```

The symmetry is No. 12.

10.
A relaxed Pm2PrNd3Ho6 crystal. Source: the Alexandria database, functional PBE.

Geometry as CIF:
```
data_Pm2PrNd3Ho6
_chemical_formula_sum 'Pm2 Pr1 Nd3 Ho6'
_cell_length_a 6.253
_cell_length_b 6.253
_cell_length_c 11.817
_cell_angle_alpha 95.04
_cell_angle_beta 95.04
_cell_angle_gamma 119.99
_symmetry_space_group_name_H-M 'P 1'
_symmetry_Int_Tables_number 1
loop_
_symmetry_equiv_pos_as_xyz
'x,y,z'
loop_
_atom_site_label
_atom_site_type_symbol
_atom_site_fract_x
_atom_site_fract_y
_atom_site_fract_z
Pm1 Pm 0.167 0.833 0.000
Pm2 Pm 0.833 0.167 0.000
Pr1 Pr 0.500 0.500 0.000
Nd1 Nd 0.000 0.000 0.500
Nd2 Nd 0.333 0.667 0.500
Nd3 Nd 0.667 0.333 0.500
Ho1 Ho 0.083 0.416 0.750
Ho2 Ho 0.250 0.250 0.250
Ho3 Ho 0.416 0.083 0.750
Ho4 Ho 0.584 0.917 0.250
Ho5 Ho 0.750 0.750 0.750
Ho6 Ho 0.917 0.584 0.250
```

The symmetry is No. 12.

11.
A relaxed Pm2PrNd2Ho2 crystal. Source: the Alexandria database, functional PBE.

Geometry as CIF:
```
data_Pm2PrNd2Ho2
_chemical_formula_sum 'Pm2 Pr1 Nd2 Ho2'
_cell_length_a 6.276
_cell_length_b 6.276
_cell_length_c 8.148
_cell_angle_alpha 97.40
_cell_angle_beta 97.40
_cell_angle_gamma 48.31
_symmetry_space_group_name_H-M 'P 1'
_symmetry_Int_Tables_number 1
loop_
_symmetry_equiv_pos_as_xyz
'x,y,z'
loop_
_atom_site_label
_atom_site_type_symbol
_atom_site_fract_x
_atom_site_fract_y
_atom_site_fract_z
Pm1 Pm 0.143 0.143 0.430
Pm2 Pm 0.857 0.857 0.570
Pr1 Pr 0.000 0.000 0.000
Nd1 Nd 0.428 0.428 0.284
Nd2 Nd 0.572 0.572 0.716
Ho1 Ho 0.285 0.285 0.858
Ho2 Ho 0.715 0.715 0.142
```

The symmetry is No. 12.

12.
A relaxed PmPr2NdHo crystal. Source: the Alexandria database, functional PBE.

Geometry as CIF:
```
data_PmPr2NdHo
_chemical_formula_sum 'Pm2 Pr4 Nd2 Ho2'
_cell_length_a 8.314
_cell_length_b 6.788
_cell_length_c 6.300
_cell_angle_alpha 90.00
_cell_angle_beta 90.49
_cell_angle_gamma 90.00
_symmetry_space_group_name_H-M 'P 1'
_symmetry_Int_Tables_number 1
loop_
_symmetry_equiv_pos_as_xyz
'x,y,z'
loop_
_atom_site_label
_atom_site_type_symbol
_atom_site_fract_x
_atom_site_fract_y
_atom_site_fract_z
Pm1 Pm 0.000 0.076 0.250
Pm2 Pm 0.000 0.924 0.750
Pr1 Pr 0.306 0.194 0.747
Pr2 Pr 0.306 0.806 0.247
Pr3 Pr 0.694 0.194 0.753
Pr4 Pr 0.694 0.806 0.253
Nd1 Nd 0.000 0.500 0.000
Nd2 Nd 0.000 0.500 0.500
Ho1 Ho 0.500 0.342 0.250
Ho2 Ho 0.500 0.658 0.750
```

The symmetry is No. 13.

no.,spin magnetization (μB per cell),raw total energy (eV per cell)
1,0.0,-55.892
2,0.0,-79.406
3,0.0,-92.755
4,0.0,-42.327
5,0.0,-69.766
6,0.0,-80.488
7,0.0,-37.802
8,0.0,-37.673
9,0.0,-42.570
10,0.0,-55.903
11,0.0,-32.863
12,0.0,-44.743